A geometry-optimized Cs5Mn2O6 structure. Source: Alexandria via LeMat-Bulk, functional GGA+U.

a b c (Å): 11.4568 7.8571 14.9446
angles (deg): 90.00 98.91 90.00
Space group C2/c (No. 15)
Inequivalent atoms, fractional coordinates:
Cs (0.0000, 0.1095, 0.2500)
Cs (0.0543, 0.2210, 0.9933)
Cs (0.1554, 0.4387, 0.7073)
Mn (0.2242, 0.3657, 0.4271)
O (0.0782, 0.4379, 0.3766)
O (0.1642, 0.0584, 0.6388)
O (0.1878, 0.1258, 0.4508)

Summary:
total magnetic moment: 7.00 μB per formula unit
crystal system: monoclinic
total energy: -66.8 eV per formula unit